An optimized crystal structure of Cu2PCl. Source: Alexandria via LeMat-Bulk, functional PBE.

Summary:
Uncorrected energy, eV/atom: -3.756
ρ, kg/m3: 4784
Formation energy (no corrections), eV/atom: 0.107
Energy above the most stable polymorph in this dataset, eV/atom: 0.202
Calculated volume, Å³ per cell: 67

POSCAR file:
```
Cu2PCl
1.0
3.3432 -0.0190 0.0000
-1.7810 2.8294 0.0000
0.0000 0.0000 7.1267
Cu Cl P
2 1 1
Direct
0.0000 0.0000 0.4807
0.0000 0.0000 0.0193
0.5000 0.5000 0.7500
0.5000 0.5000 0.2500
```